# 1
Density functional theory data (PBEsol) for a geometry-optimized CrCu2Si structure.

SG ... No. 99
Total magnetic moment ... 0.2 μB per formula unit
Density of states at the Fermi level ... 2.05 states/eV per cell
Formation energy (no corrections) ... 0.26 eV/f.u.

abc: 2.517 2.517 7.247
angles: 90.00 90.00 90.06
Sites, in units of the cell vectors:
Si 0.000 0.000 0.496
Cr 0.500 0.500 0.256
Cu 0.000 0.000 0.002
Cu 0.500 0.500 0.746

# 2
Density functional theory data (PBEsol) for a geometry-optimized CrCu2Si structure.

SG ... No. 47
Total magnetic moment ... 1.0 μB per formula unit
Density of states at the Fermi level ... 3.19 states/eV per cell
Formation energy (no corrections) ... 0.72 eV/f.u.

abc: 2.536 3.746 4.943
angles: 90.00 90.00 90.00
Sites, in units of the cell vectors:
Si 0.500 0.500 0.000
Cu 0.000 0.000 0.747
Cu 0.000 0.000 0.253
Cr 0.500 0.500 0.500

# 3
Density functional theory data (PBEsol) for a geometry-optimized Cr3CuSn structure.

DFT formation energy ... 1.204 eV/atom
SG ... No. 221
Total magnetic moment ... 9.0 μB per formula unit
Density of states at the Fermi level ... 6.33 states/eV per cell

abc: 4.432 4.432 4.432
angles: 90.00 90.00 90.00
Sites, in units of the cell vectors:
Cr 0.500 0.000 0.000
Cr 0.000 0.000 0.500
Cr 0.000 0.500 0.000
Cu 0.000 0.000 0.000
Sn 0.500 0.500 0.500